(1)
A geometry-optimized NaSrF3 structure. Source: Alexandria via LeMat-Bulk, functional PBE.

abc: 6.288 4.040 11.366
angles: 90.00 90.00 90.00
Fractional positions:
Na 0.040 0.250 0.087
Na 0.460 0.750 0.587
Na 0.540 0.250 0.413
Na 0.960 0.750 0.913
Sr 0.056 0.750 0.349
Sr 0.444 0.250 0.849
Sr 0.556 0.750 0.151
Sr 0.944 0.250 0.651
F 0.052 0.250 0.868
F 0.169 0.250 0.474
F 0.176 0.750 0.705
F 0.324 0.250 0.205
F 0.331 0.750 0.974
F 0.448 0.750 0.368
F 0.552 0.250 0.632
F 0.669 0.250 0.026
F 0.676 0.750 0.795
F 0.824 0.250 0.295
F 0.831 0.750 0.526
F 0.948 0.750 0.132


(2)
A geometry-optimized NaSrF4 structure. Source: Alexandria via LeMat-Bulk, functional PBE.

abc: 3.886 3.886 6.407
angles: 90.00 90.00 90.00
Fractional positions:
Na 0.000 0.000 0.000
Sr 0.000 0.000 0.500
F 0.000 0.500 0.255
F 0.000 0.500 0.745
F 0.500 0.000 0.255
F 0.500 0.000 0.745


(3)
A geometry-optimized Na2SrTeF structure. Source: Alexandria via LeMat-Bulk, functional PBE.

abc: 4.802 4.802 5.507
angles: 90.00 90.00 90.00
Fractional positions:
Na 0.000 0.500 0.000
Na 0.500 0.000 0.000
Sr 0.000 0.000 0.500
Te 0.500 0.500 0.500
F 0.000 0.000 0.000


(4)
A geometry-optimized NaSrTiF6 structure. Source: Alexandria via LeMat-Bulk, functional PBE.

abc: 6.040 6.040 8.689
angles: 90.00 90.00 120.00
Fractional positions:
Na 0.000 0.000 0.000
Na 0.000 0.000 0.500
Sr 0.333 0.667 0.250
Sr 0.667 0.333 0.750
Ti 0.333 0.667 0.750
Ti 0.667 0.333 0.250
F 0.055 0.379 0.631
F 0.055 0.676 0.869
F 0.324 0.379 0.869
F 0.324 0.945 0.631
F 0.379 0.055 0.131
F 0.379 0.324 0.369
F 0.621 0.676 0.631
F 0.621 0.945 0.869
F 0.676 0.055 0.369
F 0.676 0.621 0.131
F 0.945 0.324 0.131
F 0.945 0.621 0.369


(5)
A geometry-optimized NaSrTiF6 structure. Source: Alexandria via LeMat-Bulk, functional PBE.

abc: 5.498 9.647 10.464
angles: 90.00 90.00 90.00
Fractional positions:
Na 0.038 0.147 0.085
Na 0.462 0.853 0.585
Na 0.538 0.353 0.915
Na 0.962 0.647 0.415
Sr 0.009 0.690 0.829
Sr 0.491 0.310 0.329
Sr 0.509 0.810 0.171
Sr 0.991 0.190 0.671
Ti 0.030 0.495 0.126
Ti 0.470 0.505 0.626
Ti 0.530 0.005 0.874
Ti 0.970 0.995 0.374
F 0.154 0.002 0.533
F 0.178 0.833 0.322
F 0.209 0.508 0.290
F 0.212 0.122 0.294
F 0.217 0.648 0.588
F 0.217 0.660 0.051
F 0.283 0.340 0.551
F 0.283 0.352 0.088
F 0.288 0.878 0.794
F 0.291 0.492 0.790
F 0.322 0.167 0.822
F 0.346 0.998 0.033
F 0.654 0.498 0.467
F 0.678 0.667 0.678
F 0.709 0.992 0.710
F 0.712 0.378 0.706
F 0.717 0.840 0.949
F 0.717 0.852 0.412
F 0.783 0.148 0.912
F 0.783 0.160 0.449
F 0.788 0.622 0.206
F 0.791 0.008 0.210
F 0.822 0.333 0.178
F 0.846 0.502 0.967


(6)
A geometry-optimized Na2SrTlF structure. Source: Alexandria via LeMat-Bulk, functional PBE.

abc: 5.167 5.167 4.954
angles: 90.00 90.00 90.00
Fractional positions:
Na 0.000 0.500 0.000
Na 0.500 0.000 0.000
Sr 0.000 0.000 0.500
Tl 0.500 0.500 0.500
F 0.000 0.000 0.000


(7)
A geometry-optimized NaSr2TlF structure. Source: Alexandria via LeMat-Bulk, functional PBE.

abc: 5.410 5.410 4.785
angles: 90.00 90.00 90.00
Fractional positions:
Na 0.000 0.000 0.000
Sr 0.000 0.500 0.500
Sr 0.500 0.000 0.500
Tl 0.500 0.500 0.000
F 0.000 0.000 0.500


(8)
A geometry-optimized NaSrTmF6 structure. Source: Alexandria via LeMat-Bulk, functional PBE.

abc: 5.852 5.852 10.300
angles: 90.00 90.00 120.00
Fractional positions:
Na 0.333 0.667 0.250
Na 0.667 0.333 0.750
Sr 0.000 0.000 0.000
Sr 0.000 0.000 0.500
Tm 0.333 0.667 0.750
Tm 0.667 0.333 0.250
F 0.024 0.357 0.637
F 0.024 0.667 0.863
F 0.333 0.357 0.863
F 0.333 0.976 0.637
F 0.357 0.024 0.137
F 0.357 0.333 0.363
F 0.643 0.667 0.637
F 0.643 0.976 0.863
F 0.667 0.024 0.363
F 0.667 0.643 0.137
F 0.976 0.333 0.137
F 0.976 0.643 0.363


(9)
A geometry-optimized Na2SrZnF6 structure. Source: Alexandria via LeMat-Bulk, functional PBE.

abc: 5.730 6.045 10.110
angles: 90.00 124.14 90.00
Fractional positions:
Na 0.228 0.045 0.231
Na 0.228 0.455 0.731
Na 0.772 0.545 0.269
Na 0.772 0.955 0.769
Sr 0.000 0.000 0.500
Sr 0.000 0.500 0.000
Zn 0.500 0.000 0.000
Zn 0.500 0.500 0.500
F 0.152 0.158 0.955
F 0.152 0.342 0.455
F 0.251 0.709 0.911
F 0.251 0.791 0.411
F 0.398 0.089 0.772
F 0.398 0.411 0.272
F 0.602 0.589 0.728
F 0.602 0.911 0.228
F 0.749 0.209 0.589
F 0.749 0.291 0.089
F 0.848 0.658 0.545
F 0.848 0.842 0.045


(10)
A geometry-optimized NaSrZnF6 structure. Source: Alexandria via LeMat-Bulk, functional PBE.

abc: 5.576 5.576 5.156
angles: 90.00 90.00 120.00
Fractional positions:
Na 0.000 0.000 0.000
Sr 0.667 0.333 0.500
Zn 0.333 0.667 0.000
F 0.042 0.373 0.219
F 0.042 0.669 0.781
F 0.331 0.373 0.781
F 0.331 0.958 0.219
F 0.627 0.669 0.219
F 0.627 0.958 0.781


(11)
A geometry-optimized Na2SrZnF8 structure. Source: Alexandria via LeMat-Bulk, functional PBE.

abc: 4.428 5.306 7.330
angles: 90.31 90.01 93.73
Fractional positions:
Na 0.002 0.003 0.270
Na 0.998 0.997 0.730
Sr 0.500 0.500 0.000
Zn 0.500 0.500 0.500
F 0.011 0.247 0.000
F 0.133 0.286 0.503
F 0.396 0.726 0.293
F 0.403 0.729 0.708
F 0.597 0.271 0.292
F 0.604 0.274 0.707
F 0.867 0.714 0.497
F 0.989 0.753 0.000


(12)
A geometry-optimized NaSrZn2F8 structure. Source: Alexandria via LeMat-Bulk, functional PBE.

abc: 6.877 6.877 6.877
angles: 132.50 132.50 69.44
Fractional positions:
Na 0.000 0.000 0.000
Sr 0.250 0.750 0.500
Zn 0.500 0.500 0.000
Zn 0.750 0.250 0.500
F 0.248 0.672 0.079
F 0.328 0.407 0.576
F 0.417 0.002 0.079
F 0.593 0.169 0.921
F 0.663 0.583 0.586
F 0.831 0.752 0.424
F 0.923 0.337 0.921
F 0.998 0.077 0.414


Looking at formation energy (no corrections) for the records above, in order, we have -326.22, -263.06, -149.68, -324.16, -330.04, -113.87, -121.41, -363.50, -283.00, -258.65, -234.07, -248.47 kJ per mole of atoms.
Looking at uncorrected energy for the records above, in order, we have -5.104, -4.474, -3.418, -5.818, -5.879, -2.892, -3.042, -5.845, -4.615, -4.403, -4.140, -4.285 eV per atom.